[1]
Entry from Alexandria via LeMat-Bulk: a relaxed structure of TaFe2Tc (PBE-GGA).

POSCAR file:
```
TaFe2Tc
1.0
4.6405 -0.0003 0.0000
1.5549 4.3723 0.0000
-3.0977 -2.1860 2.6758
Fe Tc Ta
2 1 1
direct
0.5000 0.5000 0.0000
0.0000 0.0000 0.0000
0.7500 0.2500 0.5000
0.2500 0.7500 0.5000
```

- energy of formation from the pure elements (eV/atom) = 0.0362
- energy above the lowest structure with this stoichiometry (meV per atom) = 115
- SG = I4/mmm (139)

[2]
Entry from Alexandria via LeMat-Bulk: a relaxed structure of Si2Tc (PBE-GGA).

POSCAR file:
```
Si2Tc
1.0
4.0486 0.0000 0.0000
0.0000 4.0486 0.0000
0.0000 0.0000 2.8950
Si Tc
2 1
direct
0.5000 0.0000 0.5000
0.0000 0.5000 0.5000
0.0000 0.0000 0.0000
```

- energy above the lowest structure with this stoichiometry (meV per atom) = 400
- SG = P4/mmm (123)

[3]
Entry from Alexandria via LeMat-Bulk: a relaxed structure of TbPr2Y3Tm6 (PBE-GGA).

POSCAR file:
```
TbPr2Y3Tm6
1.0
6.1600 0.0016 0.0065
-3.0772 5.3364 0.0065
-1.0371 -1.7957 11.5504
Tm Y Pr Tb
6 3 2 1
direct
0.0846 0.4173 0.2520
0.5827 0.9154 0.7480
0.2479 0.2479 0.7479
0.9154 0.5827 0.7480
0.7521 0.7521 0.2521
0.4173 0.0846 0.2520
0.5000 0.5000 0.5000
0.1665 0.8335 0.5000
0.8335 0.1665 0.5000
0.3333 0.6667 0.0000
0.6667 0.3333 0.0000
0.0000 0.0000 0.0000
```

- energy of formation from the pure elements (eV/atom) = 0.0260
- SG = C2/m (12)

[4]
Entry from Alexandria via LeMat-Bulk: a relaxed structure of Na2TlAs2H2 (PBE-GGA).

POSCAR file:
```
Na2TlAs2H2
1.0
3.6357 0.0000 0.0000
-1.8178 5.1086 0.1758
0.0000 -1.6208 8.3779
As H Na Tl
2 2 2 1
direct
0.9635 0.9271 0.6358
0.0365 0.0729 0.3642
0.4901 0.9801 0.6527
0.5099 0.0199 0.3473
0.2476 0.4953 0.7021
0.7524 0.5047 0.2979
0.0000 0.0000 0.0000
```

- SG = C2/m (12)
- energy (Ry/atom) = -0.218

[5]
Entry from Alexandria via LeMat-Bulk: a relaxed structure of SrNiAg3 (PBE-GGA).

POSCAR file:
```
SrNiAg3
1.0
4.9332 0.0000 0.0000
0.0000 4.9332 0.0000
0.0000 0.0000 4.9332
Sr Ag Ni
1 3 1
direct
0.5000 0.5000 0.5000
0.0000 0.0000 0.5000
0.0000 0.5000 0.0000
0.5000 0.0000 0.0000
0.0000 0.0000 0.0000
```

- energy of formation from the pure elements (eV/atom) = 0.1153
- SG = Pm-3m (221)

[6]
Entry from Alexandria via LeMat-Bulk: a relaxed structure of HfMnCd2I (PBE-GGA).

POSCAR file:
```
HfMnCd2I
1.0
-2.4935 1.2368 -4.9917
0.1806 -5.5230 -1.4587
-4.9157 -0.7595 2.2673
Hf Cd Mn I
1 2 1 1
direct
0.0000 0.0000 0.0000
0.0000 0.5000 0.0000
0.5000 0.0000 0.0000
0.5000 0.5000 0.5000
0.0000 0.0000 0.5000
```

- SG = P4/mmm (123)
- energy (Ry/atom) = -0.263

[7]
Entry from Alexandria via LeMat-Bulk: a relaxed structure of Zr5Ag3 (PBE-GGA).

POSCAR file:
```
Zr5Ag3
1.0
4.3669 -4.4389 0.0000
4.3669 4.4389 0.0000
0.0000 0.0000 4.2826
Ag Zr
3 5
direct
0.7444 0.7444 0.5000
0.5000 0.5000 0.0000
0.2556 0.2556 0.5000
0.5000 0.0000 0.0000
0.2542 0.7458 0.5000
0.7458 0.2542 0.5000
0.0000 0.5000 0.0000
0.0000 0.0000 0.0000
```

- energy of formation from the pure elements (eV/atom) = 0.0182
- energy above the lowest structure with this stoichiometry (meV per atom) = 0
- SG = Cmmm (65)

[8]
Entry from Alexandria via LeMat-Bulk: a relaxed structure of CaTc2Hg (PBE-GGA).

POSCAR file:
```
CaTc2Hg
1.0
-5.4439 -1.6302 0.5262
4.2309 -3.6489 1.1642
-0.2218 -0.1795 2.7960
Tc Ca Hg
2 1 1
direct
0.0000 0.0000 0.0000
0.5000 0.5000 0.0000
0.5000 0.0000 0.5000
0.0000 0.5000 0.5000
```

- energy of formation from the pure elements (eV/atom) = 0.6200
- SG = C2/m (12)

Summary of DOS(E_F) in states/eV per atom
1.213; 0.484; 1.402; 0.307; 0.417; 0.964; 0.933; 1.031
(order as listed above)